Version A
VASP calculation (PBE) on crystalline HoErNO at its relaxed geometry.

CIF file:
```
data_HoErNO
_chemical_formula_sum 'Ho2 Er2 N2 O2'
_cell_length_a 4.3654
_cell_length_b 4.3654
_cell_length_c 7.7135
_cell_angle_alpha 90.00
_cell_angle_beta 90.00
_cell_angle_gamma 90.00
_symmetry_space_group_name_H-M 'P 4/n m m'
_symmetry_Int_Tables_number 129
loop_
_symmetry_equiv_pos_as_xyz
'x,y,z'
'-x,-y,-z'
'-y+1/2,x,z'
'y+1/2,-x,-z'
'-x+1/2,-y+1/2,z'
'x+1/2,y+1/2,-z'
'y,-x+1/2,z'
'-y,x+1/2,-z'
'x+1/2,-y,-z'
'-x+1/2,y,z'
'-y,-x,-z'
'y,x,z'
'-x,y+1/2,-z'
'x,-y+1/2,z'
'y+1/2,x+1/2,-z'
'-y+1/2,-x+1/2,z'
loop_
_atom_site_label
_atom_site_fract_x
_atom_site_fract_y
_atom_site_fract_z
_atom_site_occupancy
Ho1 0.2500 0.2500 0.0893 1
Er1 0.2500 0.7500 0.5000 1
N1 0.2500 0.2500 0.5799 1
O1 0.2500 0.7500 0.0000 1
```



Version B
VASP calculation (PBE) on crystalline HoErNO at its relaxed geometry.

CIF file:
```
data_HoErNO
_chemical_formula_sum 'Ho4 Er4 N4 O4'
_cell_length_a 7.9894
_cell_length_b 6.5509
_cell_length_c 4.8732
_cell_angle_alpha 90.00
_cell_angle_beta 90.00
_cell_angle_gamma 90.00
_symmetry_space_group_name_H-M 'P b c m'
_symmetry_Int_Tables_number 57
loop_
_symmetry_equiv_pos_as_xyz
'x,y,z'
'-x,-y,-z'
'-x,-y,z+1/2'
'x,y,-z+1/2'
'x,-y+1/2,-z'
'-x,y+1/2,z'
'-x,y+1/2,-z+1/2'
'x,-y+1/2,z+1/2'
loop_
_atom_site_label
_atom_site_fract_x
_atom_site_fract_y
_atom_site_fract_z
_atom_site_occupancy
Ho1 0.1223 0.0685 0.2500 1
Er1 0.3735 0.5837 0.2500 1
N1 0.3760 0.5705 0.7500 1
O1 0.1343 0.0938 0.7500 1
```



Version C
VASP calculation (PBE) on crystalline HoErNO at its relaxed geometry.

CIF file:
```
data_HoErNO
_chemical_formula_sum 'Ho2 Er2 N2 O2'
_cell_length_a 4.8066
_cell_length_b 3.9252
_cell_length_c 6.8217
_cell_angle_alpha 90.00
_cell_angle_beta 90.00
_cell_angle_gamma 90.00
_symmetry_space_group_name_H-M 'P m m a'
_symmetry_Int_Tables_number 51
loop_
_symmetry_equiv_pos_as_xyz
'x,y,z'
'-x,-y,-z'
'-x+1/2,-y,z'
'x+1/2,y,-z'
'x+1/2,-y,-z'
'-x+1/2,y,z'
'-x,y,-z'
'x,-y,z'
loop_
_atom_site_label
_atom_site_fract_x
_atom_site_fract_y
_atom_site_fract_z
_atom_site_occupancy
Ho1 0.2500 0.0000 0.1646 1
Er1 0.2500 0.5000 0.6672 1
N1 0.2500 0.5000 0.3370 1
O1 0.2500 0.0000 0.8234 1
```



Most stable structure - version C; separation to the second - 1.8 kJ/mol of atoms.



Version A
VASP calculation (PBE) on crystalline HoErNO at its relaxed geometry.

CIF file:
```
data_HoErNO
_chemical_formula_sum 'Ho2 Er2 N2 O2'
_cell_length_a 4.8152
_cell_length_b 3.9289
_cell_length_c 6.8181
_cell_angle_alpha 90.00
_cell_angle_beta 90.00
_cell_angle_gamma 90.00
_symmetry_space_group_name_H-M 'P m m a'
_symmetry_Int_Tables_number 51
loop_
_symmetry_equiv_pos_as_xyz
'x,y,z'
'-x,-y,-z'
'-x+1/2,-y,z'
'x+1/2,y,-z'
'x+1/2,-y,-z'
'-x+1/2,y,z'
'-x,y,-z'
'x,-y,z'
loop_
_atom_site_label
_atom_site_fract_x
_atom_site_fract_y
_atom_site_fract_z
_atom_site_occupancy
Ho1 0.2500 0.0000 0.1669 1
Er1 0.2500 0.5000 0.6655 1
N1 0.2500 0.0000 0.8343 1
O1 0.2500 0.5000 0.3286 1
```



Version B
VASP calculation (PBE) on crystalline HoErNO at its relaxed geometry.

CIF file:
```
data_HoErNO
_chemical_formula_sum 'Ho2 Er2 N2 O2'
_cell_length_a 4.7904
_cell_length_b 4.7904
_cell_length_c 4.7720
_cell_angle_alpha 90.00
_cell_angle_beta 90.00
_cell_angle_gamma 90.00
_symmetry_space_group_name_H-M 'P 4/n m m'
_symmetry_Int_Tables_number 129
loop_
_symmetry_equiv_pos_as_xyz
'x,y,z'
'-x,-y,-z'
'-y+1/2,x,z'
'y+1/2,-x,-z'
'-x+1/2,-y+1/2,z'
'x+1/2,y+1/2,-z'
'y,-x+1/2,z'
'-y,x+1/2,-z'
'x+1/2,-y,-z'
'-x+1/2,y,z'
'-y,-x,-z'
'y,x,z'
'-x,y+1/2,-z'
'x,-y+1/2,z'
'y+1/2,x+1/2,-z'
'-y+1/2,-x+1/2,z'
loop_
_atom_site_label
_atom_site_fract_x
_atom_site_fract_y
_atom_site_fract_z
_atom_site_occupancy
Ho1 0.2500 0.7500 0.0000 1
Er1 0.2500 0.2500 0.4989 1
N1 0.2500 0.2500 0.9979 1
O1 0.2500 0.7500 0.5000 1
```



Most stable structure - version B; separation to the second - 10.6 kJ/mol of atoms.



Version A
VASP calculation (PBE) on crystalline Ho3Er3NiTe2 at its relaxed geometry.

CIF file:
```
data_Ho3Er3NiTe2
_chemical_formula_sum 'Ho3 Er3 Ni1 Te2'
_cell_length_a 8.3420
_cell_length_b 8.3420
_cell_length_c 3.8625
_cell_angle_alpha 90.00
_cell_angle_beta 90.00
_cell_angle_gamma 120.00
_symmetry_space_group_name_H-M 'P -6 2 m'
_symmetry_Int_Tables_number 189
_symmetry_space_group_name_Hall 'P -6 -2'
loop_
_atom_site_label
_atom_site_fract_x
_atom_site_fract_y
_atom_site_fract_z
_atom_site_occupancy
Ho1 0.0000 0.7617 0.0000 1
Er1 0.0000 0.4019 0.5000 1
Ni1 0.0000 0.0000 0.5000 1
Te1 0.3333 0.6667 0.0000 1
```



Version B
VASP calculation (PBE) on crystalline Ho3Er3NiTe2 at its relaxed geometry.

CIF file:
```
data_Ho3Er3NiTe2
_chemical_formula_sum 'Ho3 Er3 Ni1 Te2'
_cell_length_a 8.3421
_cell_length_b 8.3421
_cell_length_c 3.8647
_cell_angle_alpha 90.00
_cell_angle_beta 90.00
_cell_angle_gamma 120.00
_symmetry_space_group_name_H-M 'P -6 2 m'
_symmetry_Int_Tables_number 189
_symmetry_space_group_name_Hall 'P -6 -2'
loop_
_atom_site_label
_atom_site_fract_x
_atom_site_fract_y
_atom_site_fract_z
_atom_site_occupancy
Ho1 0.0000 0.4019 0.0000 1
Er1 0.0000 0.7618 0.5000 1
Ni1 0.0000 0.0000 0.0000 1
Te1 0.3333 0.6667 0.5000 1
```



Most stable structure - version B; separation to the second - 1.3 kJ/mol of atoms.



Version A
VASP calculation (PBE) on crystalline Ho2Er2O5 at its relaxed geometry.

CIF file:
```
data_Ho2Er2O5
_chemical_formula_sum 'Ho2 Er2 O5'
_cell_length_a 3.8851
_cell_length_b 3.8851
_cell_length_c 9.2400
_cell_angle_alpha 90.00
_cell_angle_beta 90.00
_cell_angle_gamma 90.00
_symmetry_space_group_name_H-M 'P 4/m m m'
_symmetry_Int_Tables_number 123
_symmetry_space_group_name_Hall '-P 4 2'
loop_
_atom_site_label
_atom_site_fract_x
_atom_site_fract_y
_atom_site_fract_z
_atom_site_occupancy
Ho1 0.0000 0.0000 0.2426 1
Er1 0.5000 0.5000 0.0000 1
Er2 0.5000 0.5000 0.5000 1
O1 0.0000 0.0000 0.5000 1
O2 0.0000 0.5000 0.1449 1
```



Version B
VASP calculation (PBE) on crystalline Ho2Er2O5 at its relaxed geometry.

CIF file:
```
data_Ho2Er2O5
_chemical_formula_sum 'Ho2 Er2 O5'
_cell_length_a 3.8539
_cell_length_b 3.8539
_cell_length_c 9.3652
_cell_angle_alpha 90.00
_cell_angle_beta 90.00
_cell_angle_gamma 90.00
_symmetry_space_group_name_H-M 'P 4/m m m'
_symmetry_Int_Tables_number 123
_symmetry_space_group_name_Hall '-P 4 2'
loop_
_atom_site_label
_atom_site_fract_x
_atom_site_fract_y
_atom_site_fract_z
_atom_site_occupancy
Ho1 0.0000 0.0000 0.0000 1
Ho2 0.0000 0.0000 0.5000 1
Er1 0.5000 0.5000 0.2421 1
O1 0.0000 0.5000 0.1450 1
O2 0.5000 0.5000 0.5000 1
```



Most stable structure - version B; separation to the second - 2.0 kJ/mol of atoms.



Version A
VASP calculation (PBE) on crystalline HoErTeO2 at its relaxed geometry.

CIF file:
```
data_HoErTeO2
_chemical_formula_sum 'Ho2 Er2 Te2 O4'
_cell_length_a 3.8861
_cell_length_b 3.8861
_cell_length_c 12.3422
_cell_angle_alpha 90.00
_cell_angle_beta 90.00
_cell_angle_gamma 90.00
_symmetry_space_group_name_H-M 'I 4 m m'
_symmetry_Int_Tables_number 107
_symmetry_space_group_name_Hall 'I 4 -2'
loop_
_atom_site_label
_atom_site_fract_x
_atom_site_fract_y
_atom_site_fract_z
_atom_site_occupancy
Ho1 0.0000 0.0000 0.0000 1
Er1 0.0000 0.0000 0.3255 1
Te1 0.0000 0.0000 0.6626 1
O1 0.0000 0.5000 0.4119 1
```



Version B
VASP calculation (PBE) on crystalline HoErTeO2 at its relaxed geometry.

CIF file:
```
data_HoErTeO2
_chemical_formula_sum 'Ho1 Er1 Te1 O2'
_cell_length_a 3.8637
_cell_length_b 3.8637
_cell_length_c 7.1053
_cell_angle_alpha 90.00
_cell_angle_beta 90.00
_cell_angle_gamma 120.00
_symmetry_space_group_name_H-M 'P 3 m 1'
_symmetry_Int_Tables_number 156
loop_
_symmetry_equiv_pos_as_xyz
'x,y,z'
'-y,x-y,z'
'-x+y,-x,z'
'-y,-x,z'
'-x+y,y,z'
'x,x-y,z'
loop_
_atom_site_label
_atom_site_fract_x
_atom_site_fract_y
_atom_site_fract_z
_atom_site_occupancy
Ho1 0.0000 0.0000 0.0000 1
Er1 0.6667 0.3333 0.3916 1
Te1 0.3333 0.6667 0.6949 1
O1 0.0000 0.0000 0.3179 1
O2 0.6667 0.3333 0.0754 1
```



Most stable structure - version A; separation to the second - 7.9 kJ/mol of atoms.



Version A
VASP calculation (PBE) on crystalline Ho3Er3Te2Os at its relaxed geometry.

CIF file:
```
data_Ho3Er3Te2Os
_chemical_formula_sum 'Ho3 Er3 Te2 Os1'
_cell_length_a 8.2392
_cell_length_b 8.2392
_cell_length_c 4.0356
_cell_angle_alpha 90.00
_cell_angle_beta 90.00
_cell_angle_gamma 120.00
_symmetry_space_group_name_H-M 'P -6 2 m'
_symmetry_Int_Tables_number 189
_symmetry_space_group_name_Hall 'P -6 -2'
loop_
_atom_site_label
_atom_site_fract_x
_atom_site_fract_y
_atom_site_fract_z
_atom_site_occupancy
Ho1 0.0000 0.6122 0.0000 1
Er1 0.0000 0.2396 0.5000 1
Te1 0.3333 0.6667 0.5000 1
Os1 0.0000 0.0000 0.0000 1
```



Version B
VASP calculation (PBE) on crystalline Ho3Er3Te2Os at its relaxed geometry.

CIF file:
```
data_Ho3Er3Te2Os
_chemical_formula_sum 'Ho3 Er3 Te2 Os1'
_cell_length_a 8.2455
_cell_length_b 8.2455
_cell_length_c 4.0364
_cell_angle_alpha 90.00
_cell_angle_beta 90.00
_cell_angle_gamma 120.00
_symmetry_space_group_name_H-M 'P -6 2 m'
_symmetry_Int_Tables_number 189
_symmetry_space_group_name_Hall 'P -6 -2'
loop_
_atom_site_label
_atom_site_fract_x
_atom_site_fract_y
_atom_site_fract_z
_atom_site_occupancy
Ho1 0.0000 0.2400 0.0000 1
Er1 0.0000 0.6123 0.5000 1
Te1 0.3333 0.6667 0.0000 1
Os1 0.0000 0.0000 0.5000 1
```



Most stable structure - version A; separation to the second - 1.8 kJ/mol of atoms.



Version A
VASP calculation (PBE) on crystalline HoErPd2 at its relaxed geometry.

CIF file:
```
data_HoErPd2
_chemical_formula_sum 'Ho2 Er2 Pd4'
_cell_length_a 5.5604
_cell_length_b 4.5572
_cell_length_c 6.8576
_cell_angle_alpha 90.00
_cell_angle_beta 90.22
_cell_angle_gamma 90.00
_symmetry_space_group_name_H-M 'P 1 21/m 1'
_symmetry_Int_Tables_number 11
loop_
_symmetry_equiv_pos_as_xyz
'x,y,z'
'-x,-y,-z'
'-x,y+1/2,-z'
'x,-y+1/2,z'
loop_
_atom_site_label
_atom_site_fract_x
_atom_site_fract_y
_atom_site_fract_z
_atom_site_occupancy
Ho1 0.1439 0.2500 0.1826 1
Er1 0.3568 0.2500 0.6821 1
Pd1 0.1560 0.7500 0.4596 1
Pd2 0.3453 0.7500 0.9575 1
```



Version B
VASP calculation (PBE) on crystalline HoErPd2 at its relaxed geometry.

CIF file:
```
data_HoErPd2
_chemical_formula_sum 'Ho2 Er2 Pd4'
_cell_length_a 4.4585
_cell_length_b 6.8652
_cell_length_c 5.6367
_cell_angle_alpha 90.00
_cell_angle_beta 90.00
_cell_angle_gamma 90.00
_symmetry_space_group_name_H-M 'P m n 21'
_symmetry_Int_Tables_number 31
loop_
_symmetry_equiv_pos_as_xyz
'x,y,z'
'-x+1/2,-y,z+1/2'
'-x,y,z'
'x+1/2,-y,z+1/2'
loop_
_atom_site_label
_atom_site_fract_x
_atom_site_fract_y
_atom_site_fract_z
_atom_site_occupancy
Ho1 0.0000 0.0683 0.0000 1
Er1 0.0000 0.5683 0.2163 1
Pd1 0.0000 0.2106 0.5134 1
Pd2 0.0000 0.7062 0.7030 1
```



Most stable structure - version A; separation to the second - 0.5 kJ/mol of atoms.



Version A
VASP calculation (PBE) on crystalline Ho3Er3ReTe2 at its relaxed geometry.

CIF file:
```
data_Ho3Er3ReTe2
_chemical_formula_sum 'Ho3 Er3 Re1 Te2'
_cell_length_a 8.2188
_cell_length_b 8.2188
_cell_length_c 4.1288
_cell_angle_alpha 90.00
_cell_angle_beta 90.00
_cell_angle_gamma 120.00
_symmetry_space_group_name_H-M 'P -6 2 m'
_symmetry_Int_Tables_number 189
_symmetry_space_group_name_Hall 'P -6 -2'
loop_
_atom_site_label
_atom_site_fract_x
_atom_site_fract_y
_atom_site_fract_z
_atom_site_occupancy
Ho1 0.0000 0.2381 0.0000 1
Er1 0.0000 0.6139 0.5000 1
Re1 0.0000 0.0000 0.5000 1
Te1 0.3333 0.6667 0.0000 1
```



Version B
VASP calculation (PBE) on crystalline Ho3Er3ReTe2 at its relaxed geometry.

CIF file:
```
data_Ho3Er3ReTe2
_chemical_formula_sum 'Ho3 Er3 Re1 Te2'
_cell_length_a 8.2119
_cell_length_b 8.2119
_cell_length_c 4.1272
_cell_angle_alpha 90.00
_cell_angle_beta 90.00
_cell_angle_gamma 120.00
_symmetry_space_group_name_H-M 'P -6 2 m'
_symmetry_Int_Tables_number 189
_symmetry_space_group_name_Hall 'P -6 -2'
loop_
_atom_site_label
_atom_site_fract_x
_atom_site_fract_y
_atom_site_fract_z
_atom_site_occupancy
Ho1 0.0000 0.6139 0.0000 1
Er1 0.0000 0.2377 0.5000 1
Re1 0.0000 0.0000 0.0000 1
Te1 0.3333 0.6667 0.5000 1
```



Most stable structure - version B; separation to the second - 1.8 kJ/mol of atoms.